## LaCdMo2 (PBE-GGA)

Data for a relaxed structure of LaCdMo2.

Calculated values
Magnetization   0.0 μB per cell
VASP energy   -6.228 eV per atom

Cell lengths 6.077, 9.874, 2.876 Å; angles 90.00, 110.86, 90.00 degrees
Fractional positions:
La  0.000  0.000  0.000
La  0.500  0.500  0.000
Cd  0.000  0.500  0.000
Cd  0.500  0.000  0.000
Mo  0.250  0.250  0.500
Mo  0.250  0.750  0.500
Mo  0.750  0.250  0.500
Mo  0.750  0.750  0.500

***

## La2CdMo (PBE-GGA)

Data for a relaxed structure of La2CdMo.

Calculated values
Magnetization   0.0 μB per cell
VASP energy   -4.980 eV per atom

Cell lengths 3.581, 5.409, 10.770 Å; angles 90.00, 90.00, 90.00 degrees
Fractional positions:
La  0.000  0.000  0.000
La  0.000  0.500  0.330
La  0.500  0.000  0.330
La  0.500  0.500  0.000
Cd  0.000  0.500  0.735
Cd  0.500  0.000  0.735
Mo  0.000  0.000  0.526
Mo  0.500  0.500  0.526

***

## LaCdMo2 (PBE-GGA)

Data for a relaxed structure of LaCdMo2.

Calculated values
Magnetization   0.0 μB per cell
VASP energy   -6.451 eV per atom

Cell lengths 3.427, 5.081, 10.129 Å; angles 90.00, 90.00, 90.00 degrees
Fractional positions:
La  0.000  0.000  0.000
La  0.500  0.500  0.500
Cd  0.000  0.500  0.786
Cd  0.500  0.000  0.286
Mo  0.000  0.000  0.559
Mo  0.000  0.500  0.233
Mo  0.500  0.000  0.733
Mo  0.500  0.500  0.059

***

## LaCdMo2 (PBE-GGA)

Data for a relaxed structure of LaCdMo2.

Calculated values
Magnetization   0.0 μB per cell
VASP energy   -5.747 eV per atom

Cell lengths 8.011, 8.011, 5.666 Å; angles 90.00, 90.00, 90.00 degrees
Fractional positions:
La  0.000  0.000  0.000
La  0.000  0.500  0.250
La  0.500  0.000  0.750
La  0.500  0.500  0.500
Cd  0.000  0.000  0.500
Cd  0.000  0.500  0.750
Cd  0.500  0.000  0.250
Cd  0.500  0.500  0.000
Mo  0.222  0.750  0.625
Mo  0.250  0.222  0.375
Mo  0.250  0.278  0.875
Mo  0.278  0.750  0.125
Mo  0.722  0.250  0.125
Mo  0.750  0.722  0.875
Mo  0.750  0.778  0.375
Mo  0.778  0.250  0.625

***

no.,DFT formation energy (eV per formula unit)
1,2.6
2,1.7
3,1.7
4,4.5